Entry 1:
Material: LiErTm2Se4
Method: DFT, PBE
State: relaxed

Calculated values
Energy relative to the elements, uncorrected = -1.704 eV per atom
Symmetry = P2/m (10)
N(E_F) = 0.313 states/eV per atom

```
8
Lattice="3.9907 0.0000 0.0000 0.0000 6.9407 0.1345 0.0000 -2.4120 6.5057" Properties=species:S:1:pos:R:3 pbc="T T T"
Li 1.9954 3.4703 0.0673
Se 0.0000 4.5743 1.6976
Se 1.9954 1.1787 1.6402
Se 1.9954 3.3500 5.0000
Se 0.0000 -0.0457 4.9427
Tm 0.0000 2.2643 3.3201
Tm 1.9954 -1.2060 3.2529
Er 0.0000 0.0000 0.0000
```

Entry 2:
Material: Sr5Si2H2
Method: DFT, PBE
State: relaxed

Calculated values
E_tot = -29.1 eV/f.u.
Symmetry = Ima2 (46)
N(E_F) = 0.290 states/eV per atom

```
18
Lattice="-1.2048 -4.9370 -5.2362 6.2879 1.3050 -2.6773 1.4975 -5.4661 9.8934" Properties=species:S:1:pos:R:3 pbc="T T T"
H 6.2016 1.2871 -2.6405
Sr 3.5616 -3.6123 -1.7787
Si 2.5790 -8.1252 2.1332
Sr 5.7295 -5.5511 6.4276
H 2.4552 -1.8339 -3.9200
Si 6.2899 -5.1497 3.2582
Sr 4.6897 -2.5954 2.4342
Sr 0.6906 -6.7518 0.0567
H 2.3915 -3.1892 3.2695
H 4.7404 -5.7945 -1.5244
Si 3.9761 -0.9782 -0.1425
Sr 0.7067 -3.6047 -4.4202
Sr 3.8578 -2.9230 -5.7279
Sr 5.2733 -6.6985 0.7372
Sr 2.5614 -5.5807 3.9535
Sr 2.5926 -6.1744 7.7972
Si 0.2653 -3.9537 -1.2675
Sr 0.8496 -2.4946 1.4375
```

Entry 3:
Material: La8Ir3BrCl4
Method: DFT, PBE
State: relaxed

Calculated values
Energy relative to the elements, uncorrected = -1.320 eV per atom
Symmetry = R-3m (166)
N(E_F) = 0.655 states/eV per atom

```
16
Lattice="8.5108 0.0000 0.0000 0.0000 8.8607 0.2361 -4.2554 -4.2514 6.0220" Properties=species:S:1:pos:R:3 pbc="T T T"
Cl 0.0000 0.0000 0.0000
Cl 2.1277 -2.1257 3.0110
La 6.2361 2.3403 0.2495
La 4.2554 4.2532 2.9998
Ir 2.1277 2.3047 3.1291
La 2.2746 2.3403 0.2495
La -1.9807 2.2690 6.0087
Ir 4.2554 4.4304 0.1181
La 1.9807 2.2690 6.0087
La 4.2554 0.3649 3.0539
La 0.0000 4.2445 3.2042
Br 0.0000 4.4304 0.1181
Cl -2.1277 -2.1257 3.0110
Ir -2.1277 2.3047 3.1291
La 0.0000 0.3561 3.2583
Cl 4.2554 0.0000 0.0000
```

Entry 4:
Material: Rb3Er
Method: DFT, PBE
State: relaxed

Calculated values
Energy of formation from the pure elements = 0.63 eV/atom
Symmetry = Fm-3m (225)
Excess energy over the best structure of this formula in the dataset = 0.005 eV/atom
N(E_F) = 1.627 states/eV per atom

```
4
Lattice="-7.1193 -0.8621 -0.2952 -3.1830 -4.9845 4.0667 -4.0879 1.9777 5.5582" Properties=species:S:1:pos:R:3 pbc="T T T"
Er 0.0000 0.0000 0.0000
Rb -7.1951 -1.9345 4.6649
Rb -10.7927 -2.9017 6.9973
Rb -3.5976 -0.9672 2.3324
```

Entry 5:
Material: ThGaSb
Method: DFT, PBE
State: relaxed

Calculated values
Energy relative to the elements, uncorrected = -0.425 eV per atom
Symmetry = P3m1 (156)
Excess energy over the best structure of this formula in the dataset = 0.000 eV/atom
N(E_F) = 0.723 states/eV per atom

```
3
Lattice="3.9192 0.0000 0.0000 0.0000 4.8004 0.0000 0.0000 -2.4002 4.1572" Properties=species:S:1:pos:R:3 pbc="T T T"
Sb 3.2624 2.4002 1.3857
Ga 3.2712 0.0000 0.0000
Th 1.3048 0.0000 2.7715
```

Entry 6:
Material: LiPaGaGe
Method: DFT, PBE
State: relaxed

Calculated values
Energy of formation from the pure elements = -0.26 eV/atom
Symmetry = F-43m (216)
N(E_F) = 0.860 states/eV per atom

```
4
Lattice="-3.9314 -2.6652 0.7575 0.4151 -4.7239 0.8034 -0.8904 -1.7823 4.3777" Properties=species:S:1:pos:R:3 pbc="T T T"
Ga -3.3050 -6.8785 4.4539
Li -2.2033 -4.5857 2.9693
Pa 0.0000 0.0000 0.0000
Ge -1.1017 -2.2928 1.4846
```

Entry 7:
Material: In3GaOs
Method: DFT, PBE
State: relaxed

Calculated values
Energy of formation from the pure elements = 1.34 eV/atom
Symmetry = Pm-3m (221)
Excess energy over the best structure of this formula in the dataset = 1.035 eV/atom
N(E_F) = 0.997 states/eV per atom

```
5
Lattice="5.1300 0.0000 0.0000 0.0000 5.1300 0.0000 0.0000 0.0000 5.1300" Properties=species:S:1:pos:R:3 pbc="T T T"
Os 2.5650 2.5650 2.5650
In 0.0000 2.5650 0.0000
Ga 0.0000 0.0000 0.0000
In 0.0000 0.0000 2.5650
In 2.5650 0.0000 0.0000
```

Entry 8:
Material: Ba2Cd6NiPd
Method: DFT, PBE
State: relaxed

Calculated values
Energy of formation from the pure elements = -0.25 eV/atom
Symmetry = Fmmm (69)
N(E_F) = 0.635 states/eV per atom

```
10
Lattice="7.3620 0.0026 0.0029 0.0025 7.3632 0.0028 3.6847 3.6853 5.2214" Properties=species:S:1:pos:R:3 pbc="T T T"
Cd 7.3659 7.3670 2.6830
Cd 1.8894 1.8892 0.0019
Pd 0.0000 0.0000 0.0000
Cd 1.8906 5.4762 0.0029
Cd 9.1586 5.5748 5.2243
Cd 9.1599 9.1618 5.2253
Ba 3.6850 7.3654 2.6145
Ba 7.3643 3.6856 2.6127
Cd 3.6834 3.6840 2.5442
Ni 3.6823 3.6829 0.0029
```

Entry 9:
Material: Zn2ReAgW
Method: DFT, PBE
State: relaxed

Calculated values
Energy of formation from the pure elements = 1.33 eV/atom
Symmetry = P4/mmm (123)
N(E_F) = 0.742 states/eV per atom

```
5
Lattice="-0.1268 -2.7009 -4.0407 -2.2935 -3.3846 2.3344 -4.2441 2.0313 -1.2246" Properties=species:S:1:pos:R:3 pbc="T T T"
W -1.1468 -1.6923 1.1672
Zn -0.0634 -1.3505 -2.0204
Ag -3.3322 -2.0271 -1.4655
Re 0.0000 0.0000 0.0000
Zn -2.1221 1.0157 -0.6123
```

Entry 10:
Material: CeGa8Cu4
Method: DFT, PBE
State: relaxed

Calculated values
Energy of formation from the pure elements = -0.23 eV/atom
Symmetry = I4/mmm (139)
N(E_F) = 0.562 states/eV per atom

```
13
Lattice="4.8785 0.0000 1.9609 2.4393 6.2984 0.9805 0.0902 0.0000 6.8245" Properties=species:S:1:pos:R:3 pbc="T T T"
Ga 1.6255 4.1164 3.0051
Ga 3.0383 1.3642 6.5392
Cu 3.6589 3.1492 1.4707
Ga 0.9040 2.1820 4.7999
Cu 0.0451 0.0000 3.4122
Ga 1.9305 1.3642 2.2462
Cu 2.4844 0.0000 4.3927
Ga 3.3433 4.1164 5.7804
Ce 0.0000 0.0000 0.0000
Ga 4.0647 2.1820 3.9855
Cu 1.2196 3.1492 0.4902
Ga 4.3697 4.9342 3.2267
Ga 5.4775 4.9342 7.5196
```

Entry 11:
Material: Cs3Pa3WN8
Method: DFT, PBE
State: relaxed

Calculated values
Energy relative to the elements, uncorrected = -0.925 eV per atom
Symmetry = R-3m (166)

```
15
Lattice="6.9657 0.0000 0.0000 -3.4829 6.0331 -0.0194 0.0000 -4.0027 7.1368" Properties=species:S:1:pos:R:3 pbc="T T T"
N 3.4829 2.1765 2.5420
N 1.6036 -1.0790 2.5523
Pa 1.7414 1.0152 3.5587
N 0.0000 -0.1461 4.5754
N 5.3621 -1.0790 2.5523
N -1.8793 3.1095 4.5651
Pa 3.4829 -2.0013 3.5684
N 0.0000 2.0172 2.5313
Cs 0.0000 0.0000 0.0000
Cs 1.7414 3.0166 -0.0097
Pa -1.7414 1.0152 3.5587
N 1.8793 3.1095 4.5651
W 0.0000 -2.0013 3.5684
N 3.4829 0.0133 4.5861
Cs -1.7414 3.0166 -0.0097
```

Entry 12:
Material: BeZn3Sn
Method: DFT, PBE
State: relaxed

Calculated values
Energy of formation from the pure elements = 0.99 eV/atom
Symmetry = Pm-3m (221)
Excess energy over the best structure of this formula in the dataset = 0.687 eV/atom
N(E_F) = 0.494 states/eV per atom

```
5
Lattice="-0.9684 4.0217 3.1821 -4.2901 -2.4095 1.7397 2.8098 -2.2930 3.7530" Properties=species:S:1:pos:R:3 pbc="T T T"
Zn -2.1451 -1.2048 0.8699
Zn 1.4049 -1.1465 1.8765
Be -1.2244 -0.3404 4.3374
Zn -0.4842 2.0108 1.5911
Sn 0.0000 0.0000 0.0000
```

Entry 13:
Material: Pr7Nd12Th
Method: DFT, PBE
State: relaxed

Calculated values
Energy of formation from the pure elements = 0.22 eV/atom
Symmetry = R-3 (148)
Excess energy over the best structure of this formula in the dataset = 0.000 eV/atom
N(E_F) = 1.728 states/eV per atom

```
20
Lattice="-8.6580 -0.6582 -2.1651 -1.5786 -3.6714 8.0069 -1.3143 8.1964 3.3427" Properties=species:S:1:pos:R:3 pbc="T T T"
Nd -8.8279 4.4224 2.5749
Pr -8.0034 3.3207 9.0499
Pr -3.5475 0.5462 0.1345
Pr -5.7754 1.9334 4.5922
Nd -2.8538 2.8927 5.3441
Nd -2.7230 -0.5556 6.6096
Nd -5.8492 2.8936 1.5766
Pr -1.2709 2.5930 2.1359
Nd -8.6970 0.9742 3.8403
Pr -1.7813 -0.9298 2.9771
Nd -5.7017 0.9732 7.6078
Pr -10.2799 1.2739 7.0485
Nd -3.5990 5.4354 2.9855
Th 0.0000 0.0000 0.0000
Nd -5.1790 -1.1390 4.1173
Nd -7.0801 -0.3932 1.0614
Nd -4.4707 4.2601 8.1231
Nd -6.3718 5.0059 5.0672
Nd -7.9518 -1.5686 6.1990
Pr -9.7695 4.7966 6.2073
```

Entry 14:
Material: PaVPN4
Method: DFT, PBE
State: relaxed

Calculated values
Energy relative to the elements, uncorrected = -0.732 eV per atom
Symmetry = Imma (74)
N(E_F) = 0.345 states/eV per atom

```
14
Lattice="-3.4156 -1.9901 4.6170 2.3522 -0.3145 5.6054 -1.9872 3.9135 4.2176" Properties=species:S:1:pos:R:3 pbc="T T T"
N -0.7333 2.1992 8.4071
N 0.2934 0.1611 6.5326
P -2.1581 2.5296 7.4954
N -2.3174 1.3870 10.8859
V -0.9936 1.9567 2.1088
N -2.3172 -0.5904 6.0328
Pa 0.0000 0.0000 0.0000
V -2.7014 0.9617 4.4173
Pa 0.1825 1.7995 4.9115
N -0.7331 0.2218 3.5540
N -1.2053 -0.7122 8.5585
N -3.3439 1.4477 7.9074
N -1.8452 2.3210 5.8815
P -0.8924 -0.9208 6.9445
```

Entry 15:
Material: Ag3H12Ir5
Method: DFT, PBE
State: relaxed

Calculated values
E_tot = -87.1 eV/f.u.
Symmetry = Ia-3d (230)
N(E_F) = 0.372 states/eV per atom

```
80
Lattice="-7.5139 5.4943 -2.8423 -3.0355 -9.1258 1.4930 3.6966 3.5817 8.2602" Properties=species:S:1:pos:R:3 pbc="T T T"
H -5.3609 -3.3146 0.3008
Ir 1.8483 1.7908 4.1301
H -1.3441 -3.0813 8.5681
H -4.4259 1.4577 3.5468
H -5.9527 1.4542 1.7465
Ir -3.4264 -0.0249 3.4555
Ir -5.0231 4.7646 3.0489
H -2.0998 -6.4229 4.3818
Ag 1.5364 1.5393 7.2456
H -2.6999 0.6227 1.9528
H -6.4526 -0.9899 0.3911
Ag -0.8717 1.5760 2.5736
Ir -5.6994 1.7901 4.6413
H -3.9012 -1.2937 0.3481
H -6.2837 0.3008 5.2501
Ir -3.7569 2.7471 -1.4211
Ag -6.0299 4.5622 -0.2353
Ir -5.2747 -1.8158 -0.6746
Ir -0.4247 3.6059 5.3159
H -5.1769 2.7409 5.9654
H -3.9212 7.3485 4.9594
Ir -3.1145 0.2266 0.3399
H -1.4919 3.2647 6.6101
Ir -6.1464 -0.2398 1.8990
Ir -0.7064 0.1899 5.0119
Ir -1.8297 -4.8144 3.8620
H -5.6993 -3.3787 3.1189
Ir -3.7383 -0.2765 6.5710
H -1.6759 -2.7907 0.9455
H -3.5030 4.0384 3.3521
Ag -3.0620 2.6980 4.9786
H -8.8714 -3.8333 -0.7586
Ir -2.7803 6.1140 5.2826
H -4.6953 -0.8888 2.5340
Ir 0.3305 -2.7721 4.8766
H 1.5708 -0.7930 7.3333
H -4.7875 -3.3025 5.4384
H -3.0214 -3.8678 6.8992
H -2.0653 3.2527 1.4726
Ir -4.0725 -6.1638 1.6283
H -7.7853 -2.6219 1.4556
Ir -1.9086 4.5380 2.7090
H -2.4269 -1.5075 3.3641
H -2.6738 -1.4255 7.2615
H 0.6322 0.4848 3.9865
H -2.9316 -7.3983 1.9515
H -4.1790 1.3756 -0.3506
Ir -6.4281 -3.6557 1.5950
Ir -1.1534 -1.8400 2.2696
Ag -0.8229 -4.6120 7.1462
Ir 0.0000 0.0000 0.0000
H -0.9594 -3.9955 5.0877
Ag -8.3892 -1.5891 -0.3347
H -0.9001 -1.5040 5.1644
H -0.5692 -0.3506 1.6609
Ag -2.7840 -2.5455 5.2165
Ag -4.0688 2.4956 1.6944
H -0.4002 0.9400 6.5198
H -5.8934 3.9457 1.8232
H -7.4556 2.7832 0.2659
H -2.1575 0.8389 4.3769
Ag -6.3117 1.1463 -0.5393
H -8.4236 0.7431 -0.4224
H 0.6028 -2.8330 6.6451
H -3.8314 3.8180 0.0117
H -3.2168 -4.7207 1.2883
H -4.1529 -0.6726 4.9581
Ir -1.5178 -4.5629 0.7465
H -4.7531 6.3730 2.5291
H -3.3498 -4.0882 3.5588
H -1.1535 3.3288 3.7920
H 0.9325 2.5720 5.4553
H 2.0186 3.7835 7.6695
Ag -5.9811 -1.6258 4.3373
H -3.6360 4.6709 5.6226
H -2.9517 1.2439 6.5628
Ag -3.7908 -2.7479 1.9323
H -5.5087 3.0315 -1.6572
Ag -0.5411 -1.1961 7.4502
H -7.4850 -0.5347 2.9244
```

Entry 16:
Material: AgAsSBr2
Method: DFT, PBE
State: relaxed

Calculated values
Energy relative to the elements, uncorrected = 0.811 eV per atom
Symmetry = P4/mmm (123)
Excess energy over the best structure of this formula in the dataset = 0.221 eV/atom
N(E_F) = 1.232 states/eV per atom

```
5
Lattice="5.0383 0.0000 0.0000 0.0000 5.0383 0.0000 0.0000 0.0000 5.3983" Properties=species:S:1:pos:R:3 pbc="T T T"
Br 0.0000 2.5192 0.0000
S 2.5192 2.5192 2.6992
Ag 0.0000 0.0000 0.0000
As 0.0000 0.0000 2.6992
Br 2.5192 0.0000 0.0000
```

Entry 17:
Material: NaAs2I
Method: DFT, PBE
State: relaxed

Calculated values
Energy relative to the elements, uncorrected = 0.496 eV per atom
Symmetry = Fm-3m (225)
Excess energy over the best structure of this formula in the dataset = 0.712 eV/atom
N(E_F) = 0.607 states/eV per atom

```
4
Lattice="0.0000 3.6785 3.6785 3.6785 0.0000 3.6785 3.6785 3.6785 0.0000" Properties=species:S:1:pos:R:3 pbc="T T T"
As 1.8392 1.8392 1.8392
I 3.6785 3.6785 3.6785
Na 0.0000 0.0000 0.0000
As 5.5177 5.5177 5.5177
```

Entry 18:
Material: RbBaCa2Mo
Method: DFT, PBE
State: relaxed

Calculated values
Energy of formation from the pure elements = 1.70 eV/atom
Symmetry = P4/mmm (123)
N(E_F) = 0.913 states/eV per atom

```
5
Lattice="-5.9115 0.6087 0.8943 -0.0478 -5.3914 3.3536 1.0808 3.1155 5.0240" Properties=species:S:1:pos:R:3 pbc="T T T"
Mo -2.4392 -0.8336 4.6360
Ca -2.9557 0.3043 0.4471
Ba -0.0239 -2.6957 1.6768
Ca 0.5404 1.5578 2.5120
Rb 0.0000 0.0000 0.0000
```

Entry 19:
Material: AlInAs3
Method: DFT, PBE
State: relaxed

Calculated values
Energy of formation from the pure elements = 0.99 eV/atom
Symmetry = Pm-3m (221)
Excess energy over the best structure of this formula in the dataset = 0.574 eV/atom
N(E_F) = 1.574 states/eV per atom

```
5
Lattice="5.2617 0.0000 0.0000 0.0000 5.2617 0.0000 0.0000 0.0000 5.2617" Properties=species:S:1:pos:R:3 pbc="T T T"
As 0.0000 2.6308 0.0000
Al 2.6308 2.6308 2.6308
As 2.6308 0.0000 0.0000
As 0.0000 0.0000 2.6308
In 0.0000 0.0000 0.0000
```

Entry 20:
Material: SmEuErTh
Method: DFT, PBE
State: relaxed

Calculated values
Energy of formation from the pure elements = 0.21 eV/atom
Symmetry = F-43m (216)
N(E_F) = 2.011 states/eV per atom

```
4
Lattice="-0.2491 -5.7268 0.6004 4.2463 -3.3020 -2.0698 3.5957 -2.6769 3.6227" Properties=species:S:1:pos:R:3 pbc="T T T"
Er 1.8982 -2.9264 0.5383
Sm 5.6946 -8.7793 1.6149
Eu 0.0000 0.0000 0.0000
Th 3.7964 -5.8528 1.0766
```

Total magnetization, record by record: 0.000, 0.000, 0.000, 0.007, 0.000, 0.001, 2.247, 0.000, 1.094, 0.416, 0.000, 0.000, 0.000, 1.811, 0.000, 0.001, 0.000, 2.373, 0.000, 6.876 μB per formula unit